1.
A relaxed HoCrRh2 crystal. Source: Alexandria via LeMat-Bulk, functional PBE.

a b c (Å): 3.4371 4.4349 4.4349
angles (deg): 90.00 90.00 90.00
With the nearest neighbours (Å) after each atom.
Atoms (fractional coordinates):
Rh: 0.0000 0.0000 0.5000  4 Ho 2.81, 4 Cr 2.81, 4 Rh 3.14
Rh: 0.0000 0.5000 0.0000  4 Ho 2.81, 4 Cr 2.81, 4 Rh 3.14
Ho: 0.5000 0.5000 0.5000  8 Rh 2.81, 4 Cr 3.14
Cr: 0.5000 0.0000 0.0000  8 Rh 2.81, 4 Ho 3.14

Output
- formation energy from the elements (eV per atom) = -0.378
- SG = No. 123
- uncorrected energy (eV for the cell shown) = -30.41
- spin magnetization (μB/atom) = 0.909

---

2.
A relaxed AlOsW2 crystal. Source: Alexandria via LeMat-Bulk, functional PBE.

a b c (Å): 4.4078 4.4079 4.4132
angles (deg): 119.83 119.83 90.27
With the nearest neighbours (Å) after each atom.
Atoms (fractional coordinates):
Os: 0.7497 0.2503 0.5000  4 W 2.70-2.71, 4 Al 2.70
W: 0.2500 0.7500 0.5000  4 W 2.70, 4 Al 2.70
W: 0.0004 0.9996 0.0000  4 Os 2.70-2.71, 4 W 2.70
Al: 0.4999 0.5001 0.0000  4 W 2.70, 4 Os 2.70

Output
- formation energy from the elements (eV per atom) = -0.024
- SG = No. 119
- uncorrected energy (eV for the cell shown) = -40.97
- spin magnetization (μB/atom) = 0.000

---

3.
A relaxed ZnInN2 crystal. Source: Alexandria via LeMat-Bulk, functional PBE.

a b c (Å): 6.2592 6.2592 6.2592
angles (deg): 31.62 31.62 31.62
With the nearest neighbours (Å) after each atom.
Atoms (fractional coordinates):
N: 0.1024 0.1024 0.1024  1 Zn 1.83
N: 0.8976 0.8976 0.8976  1 Zn 1.83
Zn: 0.0000 0.0000 0.0000  2 N 1.83
In: 0.5000 0.5000 0.5000  6 N 2.28

Output
- formation energy without anion corrections (eV per atom) = 0.551
- SG = No. 166
- uncorrected energy (eV for the cell shown) = -18.46
- spin magnetization (μB/atom) = 0.000

---

4.
A relaxed Sm6Ge2Se3I crystal. Source: Alexandria via LeMat-Bulk, functional PBE.

a b c (Å): 4.2344 8.6040 9.4839
angles (deg): 101.82 102.90 90.00
With the nearest neighbours (Å) after each atom.
Atoms (fractional coordinates):
Sm: 0.9916 0.7164 0.9833  3 Se 2.84-3.06, 1 Ge 2.88
Sm: 0.6693 0.5783 0.3386  3 Ge 2.95-2.98, 3 Se 3.06-3.11
Sm: 0.3213 0.8929 0.6425  2 Ge 2.92, 3 Se 2.93-3.11, 1 I 3.24
Sm: 0.3307 0.4217 0.6614  3 Ge 2.95-2.98, 3 Se 3.06-3.11
Sm: 0.0084 0.2836 0.0167  3 Se 2.84-3.06, 1 Ge 2.88
Sm: 0.6787 0.1071 0.3575  2 Ge 2.92, 3 Se 2.93-3.11, 1 I 3.24
Ge: 0.8325 0.6659 0.6650  6 Sm 2.88-2.98
Ge: 0.1675 0.3341 0.3350  6 Sm 2.88-2.98
I: 0.5000 0.0000 0.0000  6 Sm 3.21-3.24
Se: 0.1597 0.8376 0.3193  6 Sm 2.93-3.11
Se: 0.8403 0.1624 0.6807  6 Sm 2.93-3.11
Se: 0.5000 0.5000 0.0000  6 Sm 2.84-3.06

Output
- formation energy without anion corrections (eV per atom) = -1.403
- SG = No. 12
- uncorrected energy (eV for the cell shown) = -66.39
- spin magnetization (μB/atom) = 0.000

---

5.
A relaxed CeTl2Ag crystal. Source: Alexandria via LeMat-Bulk, functional PBE.

a b c (Å): 5.2501 5.2501 5.2501
angles (deg): 60.00 60.00 60.00
With the nearest neighbours (Å) after each atom.
Atoms (fractional coordinates):
Tl: 0.2500 0.2500 0.2500  4 Ce 3.22, 4 Ag 3.22
Tl: 0.7500 0.7500 0.7500  4 Ag 3.22, 4 Ce 3.22
Ce: 0.5000 0.5000 0.5000  8 Tl 3.22
Ag: 0.0000 0.0000 0.0000  8 Tl 3.22

Output
- formation energy from the elements (eV per atom) = -0.136
- SG = No. 225
- uncorrected energy (eV for the cell shown) = -14.06
- spin magnetization (μB/atom) = 0.240
- distance to the lowest polymorph of the same formula (meV per atom) = 52

---

6.
A relaxed Mn2IrCl crystal. Source: Alexandria via LeMat-Bulk, functional PBE.

a b c (Å): 3.0630 3.0630 7.1730
angles (deg): 90.00 90.00 89.92
With the nearest neighbours (Å) after each atom.
Atoms (fractional coordinates):
Ir: 0.5000 0.5000 0.7500  8 Mn 2.68
Mn: 0.0000 0.0000 0.5308  4 Ir 2.68, 4 Cl 2.96
Mn: 0.0000 0.0000 0.9692  4 Ir 2.68, 4 Cl 2.96
Cl: 0.5000 0.5000 0.2500  8 Mn 2.96, 4 Cl 3.06

Output
- formation energy without anion corrections (eV per atom) = 0.009
- SG = No. 123
- uncorrected energy (eV for the cell shown) = -29.01
- spin magnetization (μB/atom) = 2.305
- distance to the lowest polymorph of the same formula (meV per atom) = 107